Entry from the Alexandria database: a relaxed MgRu2Pb crystal (PBE).

Cell: 3.0032 8.4968 8.4968 Å, 20.47 90.00 90.00°
Last column: nearest neighbours and their distance in Å.
Positions (direct):
Mg (0.0000, 0.0000, 0.0000)  4 Ru 2.77, 4 Mg 3.00-3.02
Ru (0.0000, 0.1966, 0.1966)  4 Ru 2.62
Ru (0.5000, 0.6056, 0.6056)  4 Ru 2.62, 4 Mg 2.77
Pb (0.5000, 0.8223, 0.8223)  4 Ru 2.99, 4 Pb 3.00-3.02, 2 Mg 3.33

## Properties
- symmetry = Amm2, No. 38
- crystal system = orthorhombic
- calculated total energy (eV for the cell shown) = -23.25
- Fermi-level density of states (states/eV/atom) = 0.379
- magnetization (μB per formula unit) = 0.000

Entry from the Alexandria database: a relaxed KNpTl2Br8 crystal (PBE).

Cell: 7.1131 7.6345 9.5901 Å, 89.94 89.91 89.53°
Last column: nearest neighbours and their distance in Å.
Positions (direct):
K (0.0000, 0.0000, 0.0000)  6 Br 3.21-3.45
Np (0.0000, 0.0000, 0.5000)  6 Br 2.68-2.71
Tl (0.4995, 0.5000, 0.2349)  2 Br 3.03
Tl (0.5005, 0.5000, 0.7651)  2 Br 3.03
Br (0.1917, 0.6960, 0.5006)  1 Np 2.68
Br (0.2324, 0.1253, 0.7000)  1 Np 2.71
Br (0.2330, 0.1244, 0.2992)  1 Np 2.71
Br (0.2746, 0.6641, 0.9999)  2 Tl 3.03, 1 K 3.21
Br (0.7254, 0.3359, 0.0001)  2 Tl 3.03, 1 K 3.21
Br (0.7670, 0.8756, 0.7008)  1 Np 2.71
Br (0.7676, 0.8747, 0.3000)  1 Np 2.71
Br (0.8083, 0.3040, 0.4994)  1 Np 2.68

## Properties
- symmetry = P-1, No. 2
- crystal system = triclinic
- Fermi-level density of states (states/eV/atom) = 0.843
- uncorrected formation energy (eV per atom) = -1.103
- magnetization (μB per formula unit) = 1.949

> Which of these has the highest magnetization?

KNpTl2Br8